No. 1
First-principles (PBE) data for crystalline Na3Cr2CuS6 at its relaxed geometry, as listed in the Alexandria database.

Properties
Raw formation energy in eV/atom: -0.748
E in eV/cell: -122.09
Magnetic moment in μB per formula unit: 3.97
ρ in g cm⁻³: 3.29

Cell lengths 6.234, 10.807, 6.746 Å; angles 90.00, 107.93, 90.00 degrees
Space group C2/m (No. 12)
One atom of each set of equivalent atoms:
Na1 0.000 0.000 0.000 [2 per cell]
Na2 0.000 0.336 0.000 [4 per cell]
Cr1 0.000 0.167 0.500 [4 per cell]
Cu1 0.000 0.500 0.500 [2 per cell]
S1 0.227 0.000 0.695 [4 per cell]
S2 0.235 0.330 0.696 [8 per cell]

No. 2
First-principles (PBE) data for crystalline YMn4 at its relaxed geometry, as listed in the Alexandria database.

Properties
Formation energy from the elements in eV per formula unit: 0.26
Polymorph energy (0 for the lowest one) in meV/atom: 0
E in eV/cell: -85.76
Magnetic moment in μB per formula unit: 0.27
ρ in g cm⁻³: 6.93

Cell lengths 3.956, 3.956, 9.450 Å; angles 90.00, 90.00, 90.00 degrees
Space group I4/mmm (No. 139)
One atom of each set of equivalent atoms:
Y1 0.000 0.000 0.000 [2 per cell]
Mn1 0.000 0.000 0.371 [4 per cell]
Mn2 0.000 0.500 0.250 [4 per cell]

No. 3
First-principles (PBE) data for crystalline V2Ni2Pt at its relaxed geometry, as listed in the Alexandria database.

Properties
Formation energy from the elements in eV per formula unit: -1.36
Polymorph energy (0 for the lowest one) in meV/atom: 0
E in eV/cell: -74.41
Magnetic moment in μB per formula unit: 0.00
ρ in g cm⁻³: 10.81

Cell lengths 6.832, 6.832, 2.729 Å; angles 90.00, 90.00, 90.00 degrees
Space group P4/mbm (No. 127)
One atom of each set of equivalent atoms:
V1 0.174 0.326 0.000 [4 per cell]
Ni1 0.124 0.624 0.500 [4 per cell]
Pt1 0.000 0.000 0.500 [2 per cell]

No. 4
First-principles (PBE) data for crystalline ScGe2RuPb at its relaxed geometry, as listed in the Alexandria database.

Properties
Formation energy from the elements in eV per formula unit: 3.43
E in eV/cell: -25.12
Magnetic moment in μB per formula unit: 0.00
ρ in g cm⁻³: 6.66

Cell lengths 5.157, 5.157, 4.672 Å; angles 90.00, 90.00, 90.00 degrees
Space group P4/mmm (No. 123)
One atom of each set of equivalent atoms:
Sc1 0.000 0.000 0.000 [1 per cell]
Ge1 0.000 0.500 0.000 [2 per cell]
Ru1 0.000 0.000 0.500 [1 per cell]
Pb1 0.500 0.500 0.500 [1 per cell]

No. 5
First-principles (PBE) data for crystalline LaRe at its relaxed geometry, as listed in the Alexandria database.

Properties
Formation energy from the elements in eV per formula unit: 1.67
Polymorph energy (0 for the lowest one) in meV/atom: 683
E in eV/cell: -125.66
Magnetic moment in μB per formula unit: 0.00
ρ in g cm⁻³: 8.50

Cell lengths 12.492, 12.492, 3.255 Å; angles 90.00, 90.00, 90.00 degrees
Space group I4/m (No. 87)
One atom of each set of equivalent atoms:
La1 0.033 0.726 0.000 [8 per cell]
Re1 0.176 0.269 0.000 [8 per cell]

No. 6
First-principles (PBE) data for crystalline Nb3VB7 at its relaxed geometry, as listed in the Alexandria database.

Properties
Formation energy from the elements in eV per formula unit: -7.77
E in eV/cell: -375.35
Magnetic moment in μB per formula unit: 0.00
ρ in g cm⁻³: 6.47

Cell lengths 3.190, 14.479, 9.012 Å; angles 90.00, 90.00, 90.00 degrees
Space group Cmcm (No. 63)
One atom of each set of equivalent atoms:
Nb1 0.000 0.107 0.052 [8 per cell]
Nb2 0.000 0.248 0.750 [4 per cell]
V1 0.000 0.047 0.750 [4 per cell]
B1 0.000 0.272 0.033 [8 per cell]
B2 0.000 0.366 0.151 [8 per cell]
B3 0.000 0.434 0.750 [4 per cell]
B4 0.000 0.486 0.092 [8 per cell]

No. 7
First-principles (PBE) data for crystalline Ba2UTl2S6 at its relaxed geometry, as listed in the Alexandria database.

Properties
Raw formation energy in eV/atom: -1.319
E in eV/cell: -118.29
Magnetic moment in μB per formula unit: 0.00
ρ in g cm⁻³: 5.01

Cell lengths 7.801, 13.054, 7.638 Å; angles 90.00, 108.19, 90.00 degrees
Space group C2/m (No. 12)
One atom of each set of equivalent atoms:
Ba1 0.000 0.164 0.000 [4 per cell]
U1 0.000 0.500 0.000 [2 per cell]
Tl1 0.000 0.341 0.500 [4 per cell]
S1 0.200 0.360 0.198 [8 per cell]
S2 0.202 0.500 0.785 [4 per cell]

No. 8
First-principles (PBE) data for crystalline BeBiPt3 at its relaxed geometry, as listed in the Alexandria database.

Properties
Formation energy from the elements in eV per formula unit: -0.84
Polymorph energy (0 for the lowest one) in meV/atom: 264
E in eV/cell: -26.57
Magnetic moment in μB per formula unit: 0.00
ρ in g cm⁻³: 13.42

Cell lengths 3.836, 3.836, 6.753 Å; angles 90.00, 90.00, 90.00 degrees
Space group P4mm (No. 99)
One atom of each set of equivalent atoms:
Be1 0.000 0.000 0.000 [1 per cell]
Bi1 0.500 0.500 0.488 [1 per cell]
Pt1 0.000 0.500 0.792 [2 per cell]
Pt2 0.500 0.500 0.094 [1 per cell]

No. 9
First-principles (PBE) data for crystalline LiCeSmHo at its relaxed geometry, as listed in the Alexandria database.

Properties
Formation energy from the elements in eV per formula unit: 1.18
E in eV/cell: -63.87
Magnetic moment in μB per formula unit: 2.08
ρ in g cm⁻³: 6.70

Cell lengths 7.711, 7.711, 7.711 Å; angles 90.00, 90.00, 90.00 degrees
Space group F-43m (No. 216)
One atom of each set of equivalent atoms:
Li1 0.000 0.000 0.000 [4 per cell]
Ce1 0.000 0.000 0.500 [4 per cell]
Sm1 0.250 0.250 0.250 [4 per cell]
Ho1 0.250 0.250 0.750 [4 per cell]

No. 10
First-principles (PBE) data for crystalline Na2TbNdTe4 at its relaxed geometry, as listed in the Alexandria database.

Properties
Raw formation energy in eV/atom: -1.323
E in eV/cell: -35.19
Magnetic moment in μB per formula unit: 0.00
ρ in g cm⁻³: 5.38

Cell lengths 7.787, 4.496, 8.008 Å; angles 90.00, 108.92, 90.00 degrees
Space group P2/m (No. 10)
One atom of each set of equivalent atoms:
Na1 0.000 0.000 0.000 [1 per cell]
Na2 0.500 0.500 0.000 [1 per cell]
Tb1 0.000 0.500 0.500 [1 per cell]
Nd1 0.500 0.000 0.500 [1 per cell]
Te1 0.239 0.000 0.734 [2 per cell]
Te2 0.248 0.500 0.262 [2 per cell]

No. 11
First-principles (PBE) data for crystalline Al2CuP at its relaxed geometry, as listed in the Alexandria database.

Properties
Formation energy from the elements in eV per formula unit: -0.14
E in eV/cell: -51.39
Magnetic moment in μB per formula unit: 0.00
ρ in g cm⁻³: 3.95

Cell lengths 3.2104, 3.2104, 20.9773 Å; angles 90.00, 90.00, 120.00 degrees
Space group R-3m (No. 166, hexagonal axes)
One atom of each set of equivalent atoms:
Al1 0.0000 0.0000 0.2463 [6 per cell]
Cu1 0.0000 0.0000 0.0000 [3 per cell]
P1 0.0000 0.0000 0.5000 [3 per cell]

No. 12
First-principles (PBE) data for crystalline BaLiMg2Zr at its relaxed geometry, as listed in the Alexandria database.

Properties
Formation energy from the elements in eV per formula unit: 3.39
E in eV/cell: -12.18
Magnetic moment in μB per formula unit: 1.40
ρ in g cm⁻³: 3.24

Cell lengths 5.168, 5.168, 5.459 Å; angles 90.00, 90.00, 90.00 degrees
Space group P4/mmm (No. 123)
One atom of each set of equivalent atoms:
Ba1 0.000 0.000 0.000 [1 per cell]
Li1 0.000 0.000 0.500 [1 per cell]
Mg1 0.000 0.500 0.500 [2 per cell]
Zr1 0.500 0.500 0.000 [1 per cell]

No. 13
First-principles (PBE) data for crystalline Hf4H2Au at its relaxed geometry, as listed in the Alexandria database.

Properties
E in eV/cell: -205.08
Magnetic moment in μB per formula unit: 0.00
ρ in g cm⁻³: 12.95

Cell lengths 6.154, 8.709, 8.737 Å; angles 90.00, 90.00, 90.00 degrees
Space group I2_12_12_1 (No. 24)
One atom of each set of equivalent atoms:
Hf1 0.010 0.062 0.447 [8 per cell]
Hf2 0.237 0.305 0.811 [8 per cell]
H1 0.000 0.250 0.319 [4 per cell]
H2 0.250 0.431 0.000 [4 per cell]
Au1 0.128 0.000 0.750 [4 per cell]

No. 14
First-principles (PBE) data for crystalline Mg2GaRh at its relaxed geometry, as listed in the Alexandria database.

Properties
Formation energy from the elements in eV per formula unit: -0.01
E in eV/cell: -54.29
Magnetic moment in μB per formula unit: 0.00
ρ in g cm⁻³: 5.11

Cell lengths 3.883, 3.883, 19.075 Å; angles 90.00, 90.00, 90.00 degrees
Space group I-42d (No. 122)
One atom of each set of equivalent atoms:
Mg1 0.242 0.250 0.125 [8 per cell]
Ga1 0.000 0.000 0.500 [4 per cell]
Rh1 0.000 0.000 0.000 [4 per cell]

No. 15
First-principles (PBE) data for crystalline NdAlGa3 at its relaxed geometry, as listed in the Alexandria database.

Properties
Formation energy from the elements in eV per formula unit: -1.95
Polymorph energy (0 for the lowest one) in meV/atom: 0
E in eV/cell: -39.08
Magnetic moment in μB per formula unit: 0.00
ρ in g cm⁻³: 6.09

Cell lengths 11.425, 4.204, 4.743 Å; angles 90.00, 114.42, 90.00 degrees
Space group Cm (No. 8)
One atom of each set of equivalent atoms:
Nd1 0.000 0.000 0.000 [2 per cell]
Al1 0.126 0.500 0.627 [2 per cell]
Ga1 0.241 0.500 0.242 [2 per cell]
Ga2 0.267 0.000 0.766 [2 per cell]
Ga3 0.387 0.000 0.385 [2 per cell]

No. 16
First-principles (PBE) data for crystalline PuThPaBi at its relaxed geometry, as listed in the Alexandria database.

Properties
Formation energy from the elements in eV per formula unit: 0.41
E in eV/cell: -138.88
Magnetic moment in μB per formula unit: 6.56
ρ in g cm⁻³: 13.57

Cell lengths 7.654, 7.654, 7.654 Å; angles 90.00, 90.00, 90.00 degrees
Space group F-43m (No. 216)
One atom of each set of equivalent atoms:
Pu1 0.000 0.000 0.000 [4 per cell]
Th1 0.000 0.000 0.500 [4 per cell]
Pa1 0.250 0.250 0.750 [4 per cell]
Bi1 0.250 0.250 0.250 [4 per cell]

No. 17
First-principles (PBE) data for crystalline SrTlSn2Os at its relaxed geometry, as listed in the Alexandria database.

Properties
Formation energy from the elements in eV per formula unit: 4.93
Polymorph energy (0 for the lowest one) in meV/atom: 0
E in eV/cell: -18.35
Magnetic moment in μB per formula unit: 1.04
ρ in g cm⁻³: 7.23

Cell lengths 5.643, 5.643, 5.194 Å; angles 90.00, 90.00, 90.00 degrees
Space group P4/mmm (No. 123)
One atom of each set of equivalent atoms:
Sr1 0.000 0.000 0.000 [1 per cell]
Tl1 0.500 0.500 0.500 [1 per cell]
Sn1 0.000 0.500 0.500 [2 per cell]
Os1 0.500 0.500 0.000 [1 per cell]

No. 18
First-principles (PBE) data for crystalline TaAlInC2 at its relaxed geometry, as listed in the Alexandria database.

Properties
Formation energy from the elements in eV per formula unit: 7.12
E in eV/cell: -29.66
Magnetic moment in μB per formula unit: 0.00
ρ in g cm⁻³: 5.83

Cell lengths 4.163, 4.163, 5.705 Å; angles 90.00, 90.00, 90.00 degrees
Space group P4/mmm (No. 123)
One atom of each set of equivalent atoms:
Ta1 0.000 0.000 0.000 [1 per cell]
Al1 0.500 0.500 0.500 [1 per cell]
In1 0.000 0.000 0.500 [1 per cell]
C1 0.000 0.500 0.000 [2 per cell]

No. 19
First-principles (PBE) data for crystalline NdY2Er4Sc at its relaxed geometry, as listed in the Alexandria database.

Properties
Formation energy from the elements in eV per formula unit: 3.53
E in eV/cell: -154.99
Magnetic moment in μB per formula unit: 2.73
ρ in g cm⁻³: 6.73

Cell lengths 6.728, 11.621, 13.076 Å; angles 90.00, 90.00, 90.00 degrees
Space group Imma (No. 74)
One atom of each set of equivalent atoms:
Nd1 0.000 0.000 0.000 [4 per cell]
Y1 0.000 0.000 0.500 [4 per cell]
Y2 0.250 0.250 0.250 [4 per cell]
Er1 0.000 0.014 0.751 [8 per cell]
Er2 0.249 0.250 0.989 [8 per cell]
Sc1 0.250 0.250 0.750 [4 per cell]

No. 20
First-principles (PBE) data for crystalline ReP2Br at its relaxed geometry, as listed in the Alexandria database.

Properties
Polymorph energy (0 for the lowest one) in meV/atom: 105
Raw formation energy in eV/atom: 0.134
E in eV/cell: -24.40
Magnetic moment in μB per formula unit: 0.00
ρ in g cm⁻³: 6.84

Cell lengths 2.988, 2.988, 8.915 Å; angles 90.00, 90.00, 90.00 degrees
Space group P4/mmm (No. 123)
One atom of each set of equivalent atoms:
Re1 0.000 0.000 0.000 [1 per cell]
P1 0.500 0.500 0.155 [2 per cell]
Br1 0.000 0.000 0.500 [1 per cell]